No. 1
DFT (GGA-PBE) results for crystalline TiAgB at its relaxed geometry.

abc: 4.537 4.370 4.447
angles: 90.00 77.04 90.00
Sites, in units of the cell vectors:
Ag1 0.996 0.680 0.713
Ag2 0.560 0.680 0.273
Ti1 0.982 0.180 0.193
Ti2 0.575 0.180 0.793
B1 0.424 0.180 0.338
B2 0.132 0.180 0.648

Properties
- uncorrected energy (Ha/atom) = -0.2145
- formation energy (eV/f.u.) = -0.1
- symmetry = P2/m

---

No. 2
DFT (GGA-PBE) results for crystalline Ti2AgB2 at its relaxed geometry.

abc: 6.074 6.074 3.241
angles: 90.00 90.00 90.00
Sites, in units of the cell vectors:
Ag1 0.500 0.500 0.000
Ag2 0.000 0.000 0.000
Ti1 0.325 0.175 0.500
Ti2 0.175 0.675 0.500
Ti3 0.675 0.825 0.500
Ti4 0.825 0.325 0.500
B1 0.099 0.401 0.000
B2 0.901 0.599 0.000
B3 0.401 0.901 0.000
B4 0.599 0.099 0.000

Properties
- uncorrected energy (Ha/atom) = -0.2490
- formation energy (eV/f.u.) = -1.9
- symmetry = P4/mbm

---

No. 3
DFT (GGA-PBE) results for crystalline TiAgB2 at its relaxed geometry.

abc: 4.015 4.015 4.015
angles: 60.00 60.00 60.00
Sites, in units of the cell vectors:
B1 0.750 0.750 0.750
B2 0.250 0.250 0.250
Ti1 0.000 0.000 0.000
Ag1 0.500 0.500 0.500

Properties
- uncorrected energy (Ha/atom) = -0.1969
- formation energy (eV/f.u.) = 2.7
- symmetry = Fm-3m
- relative energy among the computed polymorphs (eV/f.u.) = 0.000

---

No. 4
DFT (GGA-PBE) results for crystalline TiAgB at its relaxed geometry.

abc: 10.335 3.020 3.020
angles: 60.01 90.00 81.59
Sites, in units of the cell vectors:
Ti1 0.768 0.997 0.458
Ti2 0.463 0.201 0.356
Ag1 0.996 0.511 0.201
Ag2 0.235 0.686 0.614
B1 0.614 0.766 0.074
B2 0.616 0.431 0.741

Properties
- uncorrected energy (Ha/atom) = -0.2315
- formation energy (eV/f.u.) = -1.5
- symmetry = R-3m

---

No. 5
DFT (GGA-PBE) results for crystalline TiAgB at its relaxed geometry.

abc: 8.164 4.683 3.057
angles: 89.97 55.84 62.92
Sites, in units of the cell vectors:
B1 0.783 0.699 0.363
B2 0.773 0.547 0.878
Ti1 0.960 0.104 0.099
Ti2 0.597 0.143 0.142
Ag1 0.408 0.769 0.926
Ag2 0.149 0.478 0.315

Properties
- uncorrected energy (Ha/atom) = -0.2195
- formation energy (eV/f.u.) = -0.5
- symmetry = C2/m

---

No. 6
DFT (GGA-PBE) results for crystalline TiAgB at its relaxed geometry.

abc: 7.702 3.342 3.071
angles: 90.00 90.00 102.53
Sites, in units of the cell vectors:
Ag1 0.004 0.242 0.154
Ag2 0.226 0.853 0.654
B1 0.673 0.076 0.154
B2 0.558 0.018 0.654
Ti1 0.458 0.469 0.154
Ti2 0.773 0.626 0.654

Properties
- uncorrected energy (Ha/atom) = -0.2311
- formation energy (eV/f.u.) = -1.4
- symmetry = Cmcm

---

| no. | total moment (Bohr magnetons per cell) |
| --- | --- |
| 1 | 0.00 |
| 2 | 0.00 |
| 3 | 0.00 |
| 4 | 0.00 |
| 5 | 0.00 |
| 6 | 0.00 |